No. 1
Material: ZrCd3Fe
Method: DFT, meta-GGA SCAN
State: PBEsol geometry

The calculation puts the calculated formation energy at 553 meV/atom.

Lattice parameters (Å, degrees): 4.7652 4.7652 4.7652 90.00 90.00 90.00
Closest atoms and distances in Å follow each position.
Space group Pm-3m (No. 221)
Inequivalent atoms, fractional coordinates:
Zr (0.0000, 0.0000, 0.0000) x1  12 Cd 3.37
Cd (0.0000, 0.5000, 0.5000) x3  2 Fe 2.38
Fe (0.5000, 0.5000, 0.5000) x1  6 Cd 2.38

=====

No. 2
Material: ZrCd3Fe
Method: DFT, meta-GGA SCAN
State: PBEsol geometry

The calculation puts the calculated formation energy at 1471 meV/atom.

Lattice parameters (Å, degrees): 5.3785 5.3785 5.3785 90.00 90.00 90.00
Closest atoms and distances in Å follow each position.
Space group Pm-3m (No. 221)
Inequivalent atoms, fractional coordinates:
Zr (0.0000, 0.0000, 0.0000) x1  6 Cd 2.69
Cd (0.0000, 0.0000, 0.5000) x3  2 Zr 2.69
Fe (0.5000, 0.5000, 0.5000) x1  12 Cd 3.80

=====

No. 3
Material: RbCd2GaGe
Method: DFT, meta-GGA SCAN
State: PBEsol geometry

The calculation puts the calculated formation energy at 202 meV/atom.

Lattice parameters (Å, degrees): 5.5151 5.5151 4.9610 90.00 90.00 90.00
Closest atoms and distances in Å follow each position.
Space group P4/mmm (No. 123)
Inequivalent atoms, fractional coordinates:
Rb (0.0000, 0.0000, 0.0000) x1  8 Cd 3.71, 4 Ga 3.90
Cd (0.0000, 0.5000, 0.5000) x2  2 Ge 2.76
Ga (0.5000, 0.5000, 0.0000) x1  2 Ge 2.48
Ge (0.5000, 0.5000, 0.5000) x1  2 Ga 2.48, 4 Cd 2.76